1.
The following is a GGA-PBE calculation of a relaxed structure of Li2FePd3, from Alexandria.

a b c (Å): 6.792 6.792 5.927
angles (deg): 90.00 90.00 143.10
Element x y z (fractional)
1 Li 0.000 0.000 0.000
2 Li 0.000 0.000 0.500
3 Li 0.332 0.668 0.000
4 Li 0.668 0.332 0.000
5 Fe 0.336 0.664 0.500
6 Fe 0.664 0.336 0.500
7 Pd 0.168 0.832 0.252
8 Pd 0.168 0.832 0.748
9 Pd 0.500 0.500 0.248
10 Pd 0.500 0.500 0.752
11 Pd 0.832 0.168 0.252
12 Pd 0.832 0.168 0.748

## Properties
Space-group type: Cmmm (65)
Calculated formation energy: -30 kJ/mol of atoms
Calculated density: 7.87 Mg/m³
DFT total energy: -4.95 eV per atom

---

2.
The following is a GGA-PBE calculation of a relaxed structure of LiSc2AgH, from Alexandria.

a b c (Å): 4.609 4.609 3.732
angles (deg): 90.00 90.00 90.00
Element x y z (fractional)
1 Li 0.000 0.000 0.000
2 Sc 0.000 0.500 0.500
3 Sc 0.500 0.000 0.500
4 Ag 0.500 0.500 0.000
5 H 0.000 0.000 0.500

## Properties
Space-group type: P4/mmm (123)
Calculated density: 4.31 Mg/m³
DFT total energy: -4.40 eV per atom

---

3.
The following is a GGA-PBE calculation of a relaxed structure of TlHgTePb, from Alexandria.

a b c (Å): 7.937 7.937 7.937
angles (deg): 90.00 90.00 90.00
Element x y z (fractional)
1 Tl 0.000 0.000 0.000
2 Tl 0.000 0.500 0.500
3 Tl 0.500 0.000 0.500
4 Tl 0.500 0.500 0.000
5 Hg 0.250 0.250 0.750
6 Hg 0.250 0.750 0.250
7 Hg 0.750 0.250 0.250
8 Hg 0.750 0.750 0.750
9 Te 0.250 0.250 0.250
10 Te 0.250 0.750 0.750
11 Te 0.750 0.250 0.750
12 Te 0.750 0.750 0.250
13 Pb 0.000 0.000 0.500
14 Pb 0.000 0.500 0.000
15 Pb 0.500 0.000 0.000
16 Pb 0.500 0.500 0.500

## Properties
Space-group type: F-43m (216)
Formation energy (no corrections): -0.0931 eV per atom
E above lowest polymorph: 0 meV per atom
Calculated density: 9.83 Mg/m³
DFT total energy: -2.47 eV per atom

---

4.
The following is a GGA-PBE calculation of a relaxed structure of Ba3TiRe, from Alexandria.

a b c (Å): 5.978 5.978 5.978
angles (deg): 90.00 90.00 90.00
Element x y z (fractional)
1 Ba 0.000 0.000 0.500
2 Ba 0.000 0.500 0.000
3 Ba 0.500 0.000 0.000
4 Ti 0.500 0.500 0.500
5 Re 0.000 0.000 0.000

## Properties
Space-group type: Pm-3m (221)
Calculated formation energy: 117 kJ/mol of atoms
E above lowest polymorph: 0 meV per atom
Calculated density: 5.02 Mg/m³
DFT total energy: -4.01 eV per atom

---

5.
The following is a GGA-PBE calculation of a relaxed structure of ZrAg2Hg, from Alexandria.

a b c (Å): 4.992 10.982 5.997
angles (deg): 90.00 90.00 90.00
Element x y z (fractional)
1 Zr 0.000 0.100 0.250
2 Zr 0.000 0.900 0.750
3 Zr 0.500 0.400 0.750
4 Zr 0.500 0.600 0.250
5 Ag 0.000 0.375 0.009
6 Ag 0.000 0.375 0.491
7 Ag 0.000 0.625 0.509
8 Ag 0.000 0.625 0.991
9 Ag 0.500 0.125 0.509
10 Ag 0.500 0.125 0.991
11 Ag 0.500 0.875 0.009
12 Ag 0.500 0.875 0.491
13 Hg 0.000 0.163 0.750
14 Hg 0.000 0.837 0.250
15 Hg 0.500 0.337 0.250
16 Hg 0.500 0.663 0.750

## Properties
Space-group type: Cmcm (63)
Calculated formation energy: 9 kJ/mol of atoms
Calculated density: 10.25 Mg/m³
DFT total energy: -3.55 eV per atom

---

6.
The following is a GGA-PBE calculation of a relaxed structure of Ga2GeTe, from Alexandria.

a b c (Å): 7.084 7.084 7.084
angles (deg): 90.00 90.00 90.00
Element x y z (fractional)
1 Ga 0.250 0.250 0.250
2 Ga 0.250 0.250 0.750
3 Ga 0.250 0.750 0.250
4 Ga 0.250 0.750 0.750
5 Ga 0.750 0.250 0.250
6 Ga 0.750 0.250 0.750
7 Ga 0.750 0.750 0.250
8 Ga 0.750 0.750 0.750
9 Ge 0.000 0.000 0.000
10 Ge 0.000 0.500 0.500
11 Ge 0.500 0.000 0.500
12 Ge 0.500 0.500 0.000
13 Te 0.000 0.000 0.500
14 Te 0.000 0.500 0.000
15 Te 0.500 0.000 0.000
16 Te 0.500 0.500 0.500

## Properties
Space-group type: Fm-3m (225)
Formation energy (no corrections): 0.1991 eV per atom
E above lowest polymorph: 396 meV per atom
Calculated density: 6.35 Mg/m³
DFT total energy: -3.25 eV per atom